First-principles (PBE-GGA) data for an optimized crystal structure of Al5V4C, as listed in Alexandria.

Lattice parameters (Å, degrees): 13.9043 2.8039 7.4228 90.00 100.04 90.00
Space group C2/m (No. 12)
Asymmetric unit:
Al: 0.0000 0.0000 0.0000
Al: 0.1720 0.5000 0.2385
Al: 0.1801 0.5000 0.8659
V: 0.0037 0.5000 0.6881
V: 0.1527 0.0000 0.5396
C: 0.0000 0.0000 0.5000

Crystal system   monoclinic
Calculated density   4.09 g/cm³
Formation enthalpy at 0 K   -0.17 eV/atom